Record 1
BaPIr: relaxed, PBEsol.

Cell lengths 6.4623, 6.4623, 6.4623 Å; angles 90.00, 90.00, 90.00 degrees
Fractional coordinates of all 12 atoms:
P  0.3458  0.6542  0.1542
Ba  0.8728  0.6272  0.3728
P  0.1542  0.3458  0.6542
Ba  0.3728  0.8728  0.6272
Ba  0.1272  0.1272  0.1272
P  0.8458  0.8458  0.8458
Ir  0.5961  0.9039  0.0961
Ir  0.0961  0.5961  0.9039
Ir  0.4039  0.4039  0.4039
Ba  0.6272  0.3728  0.8728
P  0.6542  0.1542  0.3458
Ir  0.9039  0.0961  0.5961

Output
The calculation puts the uncorrected energy at -82.0 eV for the cell shown. The value obtained for the calculated density is 8.87 g/cm³. Its space group is No. 198.

=====

Record 2
K4BaOs: relaxed, PBEsol.

Cell lengths 6.8464, 6.8464, 6.8464 Å; angles 60.00, 60.00, 60.00 degrees
Fractional coordinates of all 6 atoms:
K  0.6212  0.6212  0.6212
K  0.1364  0.6212  0.6212
K  0.6212  0.1364  0.6212
K  0.6212  0.6212  0.1364
Ba  0.0000  0.0000  0.0000
Os  0.2500  0.2500  0.2500

Output
The calculation puts the uncorrected energy at -11.5 eV for the cell shown. The value obtained for the calculated density is 3.54 g/cm³. Its space group is No. 216.

=====

Record 3
AlH20RuCl6O10: relaxed, PBEsol.

Cell lengths 6.8128, 10.3027, 11.6571 Å; angles 90.00, 90.00, 92.42 degrees
Fractional coordinates of all 76 atoms:
H  0.9976  0.2868  0.3333
H  0.1590  0.3960  0.4443
O  0.5135  0.1171  0.8526
Cl  0.9575  0.6221  0.1689
H  0.2707  0.3015  0.5364
O  0.1116  0.8990  0.1163
Cl  0.7304  0.3655  0.0536
H  0.3410  0.1040  0.9443
H  0.9332  0.1056  0.1959
H  0.4418  0.5881  0.1177
H  0.5668  0.3944  0.6959
H  0.6590  0.8960  0.0557
O  0.2298  0.1088  0.0026
H  0.8410  0.6040  0.5557
Al  0.5000  0.5000  0.5000
H  0.5024  0.2132  0.8333
Cl  0.7696  0.1345  0.5536
O  0.4864  0.8829  0.1474
O  0.9861  0.8665  0.6809
H  0.0024  0.7132  0.6667
O  0.9864  0.3829  0.3526
H  0.1685  0.8115  0.9070
Cl  0.2150  0.3750  0.1057
H  0.3437  0.3863  0.8270
O  0.6116  0.3990  0.3837
H  0.0250  0.4325  0.2827
H  0.5250  0.9325  0.2173
H  0.0582  0.9119  0.6177
O  0.6183  0.3986  0.6136
Ru  0.5000  0.0000  0.5000
H  0.4750  0.0675  0.7827
Al  0.0000  0.0000  0.0000
H  0.0545  0.8107  0.1354
H  0.4332  0.6056  0.3041
O  0.0136  0.6171  0.6474
O  0.0139  0.1335  0.3191
H  0.8315  0.1885  0.0930
H  0.6685  0.3115  0.5930
Cl  0.2696  0.6345  0.9464
O  0.7702  0.8912  0.9974
Cl  0.5425  0.8779  0.6689
H  0.5582  0.4119  0.8823
H  0.9455  0.1893  0.8646
Cl  0.0425  0.3779  0.8311
H  0.5545  0.3107  0.3646
O  0.8884  0.1010  0.8837
O  0.7298  0.6088  0.4974
O  0.2702  0.3912  0.5026
H  0.3315  0.6885  0.4070
Ru  0.0000  0.5000  0.0000
O  0.1183  0.8986  0.8864
H  0.2293  0.1985  0.0364
O  0.8817  0.1014  0.1136
Cl  0.2850  0.1250  0.6057
H  0.7607  0.3984  0.3722
O  0.3884  0.6010  0.6163
H  0.7393  0.1016  0.8722
Cl  0.7850  0.6250  0.8943
O  0.4861  0.3665  0.8191
O  0.5139  0.6335  0.1809
H  0.1563  0.1137  0.3270
O  0.3817  0.6014  0.3864
H  0.4976  0.7868  0.1667
Cl  0.7150  0.8750  0.3943
H  0.7293  0.6985  0.4636
H  0.2607  0.8984  0.1278
Cl  0.4575  0.1221  0.3311
Cl  0.2304  0.8655  0.4464
H  0.8437  0.8863  0.6730
H  0.0668  0.8944  0.8041
H  0.2393  0.6016  0.6278
H  0.9418  0.0881  0.3823
H  0.6563  0.6137  0.1730
H  0.7707  0.8015  0.9636
H  0.9750  0.5675  0.7173
H  0.4455  0.6893  0.6354

Output
The calculation puts the uncorrected energy at -374.4 eV for the cell shown. The value obtained for the calculated density is 2.12 g/cm³. Its space group is No. 14.

=====

Record 4
K6YO4: relaxed, PBEsol.

Cell lengths 6.5849, 9.2700, 9.2700 Å; angles 120.00, 90.00, 90.00 degrees
Fractional coordinates of all 22 atoms:
K  0.1829  0.0842  0.5421
K  0.6829  0.5421  0.4579
O  0.3852  0.7906  0.2094
O  0.8852  0.5811  0.7906
K  0.5145  0.7333  0.8667
O  0.4403  0.3333  0.6667
O  0.8852  0.2094  0.4189
Y  0.7655  0.3333  0.6667
K  0.6829  0.9158  0.4579
K  0.6829  0.5421  0.0842
K  0.0145  0.2667  0.1333
K  0.1829  0.4579  0.5421
K  0.0145  0.8667  0.1333
K  0.5145  0.1333  0.2667
K  0.0145  0.8667  0.7333
O  0.3852  0.4189  0.2094
O  0.8852  0.2094  0.7906
Y  0.2655  0.6667  0.3333
O  0.9403  0.6667  0.3333
O  0.3852  0.7906  0.5811
K  0.5145  0.1333  0.8667
K  0.1829  0.4579  0.9158

Output
The raw formation energy comes out at -16.5 eV/f.u. The value obtained for the calculated density is 2.63 g/cm³. Its space group is No. 186.

=====

Record 5
HgSbN2: relaxed, PBEsol.

Cell lengths 3.4372, 3.4372, 6.6557 Å; angles 75.04, 75.04, 60.00 degrees
Fractional coordinates of all 4 atoms:
Hg  0.5000  0.5000  0.5000
N  0.1081  0.1081  0.6757
Sb  0.0000  0.0000  0.0000
N  0.8919  0.8919  0.3243

Output
The raw formation energy comes out at 5.0 eV/f.u. The value obtained for the calculated density is 8.95 g/cm³. Its space group is No. 166.

=====

Record 6
MgBCl3: relaxed, PBEsol.

Cell lengths 4.3936, 4.3936, 4.3936 Å; angles 90.00, 90.00, 90.00 degrees
Fractional coordinates of all 5 atoms:
Cl  0.0000  0.5000  0.0000
B  0.0000  0.0000  0.0000
Mg  0.5000  0.5000  0.5000
Cl  0.5000  0.0000  0.0000
Cl  0.0000  0.0000  0.5000

Output
The raw formation energy comes out at -0.7 eV/f.u. The value obtained for the calculated density is 2.77 g/cm³. Its space group is No. 221.

=====

Record 7
CsK2Na2: relaxed, PBEsol.

Cell lengths 6.8756, 6.8756, 8.5580 Å; angles 113.68, 113.68, 90.00 degrees
Fractional coordinates of all 5 atoms:
Cs  0.0000  0.0000  0.0000
Na  0.2500  0.7500  0.5000
K  0.3586  0.3586  0.7173
Na  0.7500  0.2500  0.5000
K  0.6414  0.6414  0.2827

Output
The value obtained for the calculated density is 1.28 g/cm³. Its space group is No. 139. The value obtained for the energy above the most stable polymorph in this dataset is 59 meV/atom.

=====

Record 8
Co2HgSe: relaxed, PBEsol.

Cell lengths 3.6531, 3.6531, 5.5696 Å; angles 70.86, 70.86, 60.00 degrees
Fractional coordinates of all 4 atoms:
Hg  0.5000  0.5000  0.5000
Co  0.7219  0.7219  0.8343
Se  0.0000  0.0000  0.0000
Co  0.2781  0.2781  0.1657

Output
The raw formation energy comes out at 0.8 eV/f.u. The value obtained for the calculated density is 11.08 g/cm³. Its space group is No. 166. The value obtained for the energy above the most stable polymorph in this dataset is 0 meV/atom.

=====

Record 9
AlTl2Zn: relaxed, PBEsol.

Cell lengths 3.4339, 4.8069, 5.9501 Å; angles 101.91, 90.00, 110.93 degrees
Fractional coordinates of all 4 atoms:
Zn  0.0000  0.0000  0.5000
Tl  0.2533  0.5066  0.2563
Tl  0.7467  0.4934  0.7437
Al  0.5000  0.0000  0.0000

Output
The calculation puts the uncorrected energy at -9.9 eV for the cell shown. The value obtained for the calculated density is 9.30 g/cm³. Its space group is No. 12.

=====

Record 10
HgAu5: relaxed, PBEsol.

Cell lengths 2.9987, 4.7737, 7.4907 Å; angles 90.00, 101.55, 90.00 degrees
Fractional coordinates of all 6 atoms:
Au  0.3338  0.0000  0.6677
Au  0.2181  0.5000  0.4362
Hg  0.8868  0.5000  0.7736
Au  0.0038  0.0000  0.0075
Au  0.6691  0.0000  0.3382
Au  0.5551  0.5000  0.1102

Output
The value obtained for the calculated density is 18.74 g/cm³. Its space group is No. 38. The value obtained for the energy above the most stable polymorph in this dataset is 2 meV/atom.

=====

Record 11
CaTcS2: relaxed, PBEsol.

Cell lengths 3.5498, 3.5498, 8.2367 Å; angles 77.56, 77.56, 60.00 degrees
Fractional coordinates of all 4 atoms:
S  0.1128  0.1128  0.6616
Ca  0.0000  0.0000  0.0000
Tc  0.5000  0.5000  0.5000
S  0.8872  0.8872  0.3384

Output
The raw formation energy comes out at -1.8 eV/f.u. The value obtained for the calculated density is 3.86 g/cm³. Its space group is No. 166. The value obtained for the energy above the most stable polymorph in this dataset is 362 meV/atom.

=====

Record 12
SiTcMo: relaxed, PBEsol.

Cell lengths 2.9551, 2.9551, 5.0999 Å; angles 106.84, 106.84, 90.00 degrees
Fractional coordinates of all 3 atoms:
Tc  0.3241  0.3241  0.6481
Si  0.6737  0.6737  0.3473
Mo  0.0023  0.0023  0.0046

Output
The raw formation energy comes out at -1.1 eV/f.u. The value obtained for the calculated density is 9.08 g/cm³. Its space group is No. 107.

=====

Record 13
LiVF4: relaxed, PBEsol.

Cell lengths 2.8530, 5.3294, 6.3851 Å; angles 125.91, 90.00, 105.53 degrees
Fractional coordinates of all 6 atoms:
F  0.0051  0.0102  0.3033
F  0.6638  0.3277  0.1556
F  0.9949  0.9898  0.6967
V  0.0000  0.0000  0.0000
Li  0.5000  0.0000  0.5000
F  0.3362  0.6723  0.8444

Output
The raw formation energy comes out at -17.0 eV/f.u. The value obtained for the calculated density is 3.00 g/cm³. Its space group is No. 12. The value obtained for the energy above the most stable polymorph in this dataset is 59 meV/atom.

=====

Record 14
In3NiAg: relaxed, PBEsol.

Cell lengths 4.8328, 4.8328, 4.8328 Å; angles 90.00, 90.00, 90.00 degrees
Fractional coordinates of all 5 atoms:
Ni  0.0000  0.0000  0.0000
In  0.0000  0.0000  0.5000
In  0.0000  0.5000  0.0000
In  0.5000  0.0000  0.0000
Ag  0.5000  0.5000  0.5000

Output
The calculation puts the uncorrected energy at -17.8 eV for the cell shown. The value obtained for the calculated density is 7.52 g/cm³. Its space group is No. 221.

=====

Record 15
LaTl2Ag: relaxed, PBEsol.

Cell lengths 3.3092, 4.9835, 6.2509 Å; angles 90.00, 89.96, 90.00 degrees
Fractional coordinates of all 4 atoms:
Tl  0.7510  0.5000  0.2652
La  0.2499  0.5000  0.7424
Tl  0.7490  0.0000  0.9862
Ag  0.7501  0.0000  0.5061

Output
The calculation puts the uncorrected energy at -14.6 eV for the cell shown. The value obtained for the calculated density is 10.56 g/cm³. Its space group is No. 25.

=====

Record 16
Cd2TeW: relaxed, PBEsol.

Cell lengths 3.5246, 4.4059, 5.8140 Å; angles 112.27, 107.64, 90.00 degrees
Fractional coordinates of all 4 atoms:
W  0.5000  0.0000  0.0000
Cd  0.2392  0.2392  0.4783
Cd  0.7608  0.7608  0.5217
Te  0.0000  0.5000  0.0000

Output
The raw formation energy comes out at 2.8 eV/f.u. The value obtained for the calculated density is 11.28 g/cm³. Its space group is No. 71.

=====

Record 17
K3AgPt: relaxed, PBEsol.

Cell lengths 5.8963, 5.8963, 5.8963 Å; angles 90.00, 90.00, 90.00 degrees
Fractional coordinates of all 5 atoms:
K  0.0000  0.5000  0.0000
Ag  0.0000  0.0000  0.0000
K  0.5000  0.0000  0.0000
Pt  0.5000  0.5000  0.5000
K  0.0000  0.0000  0.5000

Output
The calculation puts the uncorrected energy at -10.6 eV for the cell shown. The value obtained for the calculated density is 3.40 g/cm³. Its space group is No. 221.

=====

Record 18
Lu6FeSb2: relaxed, PBEsol.

Cell lengths 3.9902, 7.8962, 7.8962 Å; angles 120.00, 90.00, 90.00 degrees
Fractional coordinates of all 9 atoms:
Fe  0.5000  0.0000  0.0000
Lu  0.5000  0.6102  0.0000
Lu  0.5000  0.0000  0.6102
Lu  0.0000  0.7670  0.7670
Sb  0.0000  0.6667  0.3333
Sb  0.0000  0.3333  0.6667
Lu  0.0000  0.2330  0.0000
Lu  0.0000  0.0000  0.2330
Lu  0.5000  0.3898  0.3898

Output
The raw formation energy comes out at -5.3 eV/f.u. The value obtained for the calculated density is 10.40 g/cm³. Its space group is No. 189.

=====

Record 19
Mg3CuO: relaxed, PBEsol.

Cell lengths 4.6953, 4.6953, 4.6953 Å; angles 90.00, 90.00, 90.00 degrees
Fractional coordinates of all 5 atoms:
Cu  0.0000  0.0000  0.0000
Mg  0.5000  0.0000  0.0000
Mg  0.0000  0.5000  0.0000
Mg  0.0000  0.0000  0.5000
O  0.5000  0.5000  0.5000

Output
The raw formation energy comes out at 1.8 eV/f.u. The value obtained for the calculated density is 2.45 g/cm³. Its space group is No. 221.

=====

Record 20
Y5Cd3: relaxed, PBEsol.

Cell lengths 5.0611, 6.5244, 6.5244 Å; angles 101.39, 90.00, 90.00 degrees
Fractional coordinates of all 8 atoms:
Cd  0.0000  0.5000  0.5000
Y  0.0000  0.0000  0.0000
Y  0.0000  0.0000  0.5000
Y  0.5000  0.7196  0.7196
Y  0.0000  0.5000  0.0000
Y  0.5000  0.2804  0.2804
Cd  0.5000  0.7777  0.2223
Cd  0.5000  0.2223  0.7777

Output
The value obtained for the calculated density is 6.15 g/cm³. Its space group is No. 65. The value obtained for the energy above the most stable polymorph in this dataset is 11 meV/atom.